No. 1
Entry from the Alexandria database: a relaxed Pr2MgRu crystal (GGA-PBE).

## Properties
The density of states at the Fermi level comes out at 4.0 states/eV/f.u. For the total magnetization, the calculation gives 0.0 μB/f.u. As for the total energy: -20.426 eV per formula unit. As for the crystal system: tetragonal. As for the space group: No. 123. For the formation energy, the calculation gives 1 meV per atom.

Cell: 5.1353 5.1353 3.8086 Å, 90.00 90.00 90.00°
Fractional positions:
Pr  0.0000  0.5000  0.0000
Pr  0.5000  0.0000  0.0000
Mg  0.0000  0.0000  0.5000
Ru  0.5000  0.5000  0.5000


No. 2
Entry from the Alexandria database: a relaxed SiHgPCl2 crystal (GGA-PBE).

## Properties
The density of states at the Fermi level comes out at 2.4 states/eV/f.u. The calculation puts the raw formation energy at 0.065 eV/atom. For the total magnetization, the calculation gives 0.0 μB/f.u. As for the total energy: -14.504 eV per formula unit. As for the crystal system: tetragonal. As for the space group: No. 123.

Cell: 4.6722 4.6722 4.9688 Å, 90.00 90.00 90.00°
Fractional positions:
Si  0.0000  0.0000  0.0000
Hg  0.5000  0.5000  0.5000
P  0.0000  0.0000  0.5000
Cl  0.0000  0.5000  0.0000
Cl  0.5000  0.0000  0.0000


No. 3
Entry from the Alexandria database: a relaxed LiSiPb crystal (GGA-PBE).

## Properties
The density of states at the Fermi level comes out at 2.0 states/eV/f.u. The calculation puts the raw formation energy at 0.281 eV/atom. For the total magnetization, the calculation gives 0.0 μB/f.u. As for the total energy: -10.204 eV per formula unit. As for the crystal system: cubic. As for the space group: No. 216.

Cell: 4.7139 4.7139 4.7139 Å, 60.00 60.00 60.00°
Fractional positions:
Li  0.0000  0.0000  0.0000
Si  0.5000  0.5000  0.5000
Pb  0.2500  0.2500  0.2500


No. 4
Entry from the Alexandria database: a relaxed Al2OsCl2 crystal (GGA-PBE).

## Properties
The density of states at the Fermi level comes out at 2.4 states/eV/f.u. The calculation puts the raw formation energy at 0.632 eV/atom. For the total magnetization, the calculation gives 0.0 μB/f.u. As for the total energy: -19.248 eV per formula unit. As for the crystal system: tetragonal. As for the space group: No. 139.

Cell: 5.0772 5.0772 5.0772 Å, 120.47 120.47 89.18°
Fractional positions:
Al  0.2500  0.7500  0.5000
Al  0.7500  0.2500  0.5000
Os  0.0000  0.0000  0.0000
Cl  0.3182  0.3182  0.0000
Cl  0.6818  0.6818  0.0000